1.
4
Lattice="6.7953 0.0000 0.0000 0.0000 6.7953 0.0000 0.0000 0.0000 5.8922" Properties=species:S:1:pos:R:3 comment="Cs2KCd, relaxed, DFT GGA-PBE" vol_a3_per_atom=68.0 formation_energy_mev_per_atom=53 dos_ef_per_ev_fu=3.48 pbc="T T T"
Cs 0.0000 3.3976 0.0000
Cs 3.3976 0.0000 0.0000
K 0.0000 0.0000 2.9461
Cd 3.3976 3.3976 2.9461



2.
8
Lattice="4.4464 0.0000 0.0000 0.0000 5.4737 0.0000 0.0000 0.0000 4.8459" Properties=species:S:1:pos:R:3 comment="MgOs3, relaxed, DFT GGA-PBE" vol_a3_per_atom=14.7 formation_energy_mev_per_atom=314 dos_ef_per_ev_fu=3.52 pbc="T T T"
Mg 1.1116 1.3684 0.7111
Mg 3.3348 4.1053 4.1348
Os 1.1116 2.8000 3.1279
Os 1.1116 4.1053 0.7685
Os 1.1116 5.4105 3.1279
Os 3.3348 0.0631 1.7181
Os 3.3348 1.3684 4.0774
Os 3.3348 2.6737 1.7181



3.
16
Lattice="4.8798 0.0000 0.0000 0.0000 4.8798 0.0000 0.0000 0.0000 17.7087" Properties=species:S:1:pos:R:3 comment="RbLaFe2, relaxed, DFT GGA-PBE" vol_a3_per_atom=26.4 formation_energy_mev_per_atom=1095 dos_ef_per_ev_fu=2.97 pbc="T T T"
Rb 0.0000 1.2199 6.6407
Rb 0.0000 3.6598 11.0679
Rb 2.4399 1.2199 2.2136
Rb 2.4399 3.6598 15.4951
La 0.0000 1.2199 15.4951
La 0.0000 3.6598 2.2136
La 2.4399 1.2199 11.0679
La 2.4399 3.6598 6.6407
Fe 0.0000 0.0000 0.0000
Fe 0.0000 2.4399 0.0000
Fe 1.2199 1.2199 13.2815
Fe 1.2199 3.6598 4.4272
Fe 2.4399 0.0000 8.8543
Fe 2.4399 2.4399 8.8543
Fe 3.6598 1.2199 13.2815
Fe 3.6598 3.6598 4.4272



4.
8
Lattice="7.9232 0.0000 0.0000 0.0000 3.4647 0.0000 -3.8874 0.0000 7.8560" Properties=species:S:1:pos:R:3 comment="HgPtCl2, relaxed, DFT GGA-PBE" e_form_raw_ev_per_atom=-0.19 vol_a3_per_atom=27.0 pbc="T T T"
Hg 0.0000 0.0000 0.0000
Hg 3.9616 1.7323 0.0000
Pt 1.0970 1.7323 1.7137
Pt 5.0587 0.0000 1.7137
Cl -0.8791 0.0000 6.1979
Cl 1.7714 0.0000 3.0755
Cl 3.0825 1.7323 6.1979
Cl 5.7330 1.7323 3.0755



5.
14
Lattice="4.5470 0.0000 0.0000 0.0000 4.5470 0.0000 0.0000 0.0000 14.4526" Properties=species:S:1:pos:R:3 comment="Pd4Pb2S, relaxed, DFT GGA-PBE" e_form_raw_ev_per_atom=-0.08 vol_a3_per_atom=21.3 dos_ef_per_ev_fu=3.17 pbc="T T T"
Pd 0.0000 0.0000 2.2849
Pd 0.0000 0.0000 12.1678
Pd 0.0000 2.2735 0.0000
Pd 0.0000 2.2735 7.2263
Pd 2.2735 0.0000 0.0000
Pd 2.2735 0.0000 7.2263
Pd 2.2735 2.2735 4.9415
Pd 2.2735 2.2735 9.5112
Pb 0.0000 0.0000 5.0617
Pb 0.0000 0.0000 9.3909
Pb 2.2735 2.2735 2.1646
Pb 2.2735 2.2735 12.2881
S 0.0000 0.0000 0.0000
S 2.2735 2.2735 7.2263



6.
12
Lattice="3.1870 0.0000 0.0000 -1.5935 2.7600 0.0000 0.0000 0.0000 27.6047" Properties=species:S:1:pos:R:3 comment="SiMoSe2, relaxed, DFT GGA-PBE" e_form_raw_ev_per_atom=-0.22 vol_a3_per_atom=20.2 dos_ef_per_ev_fu=1.09 pbc="T T T"
Si 0.0000 0.0000 0.0000
Si 0.0000 1.8400 18.4032
Si 1.5935 0.9200 9.2016
Mo 0.0000 0.0000 20.3663
Mo 0.0000 1.8400 11.1648
Mo 1.5935 0.9200 1.9632
Se 0.0000 0.0000 7.5356
Se 0.0000 0.0000 12.8684
Se 0.0000 1.8400 3.6668
Se 0.0000 1.8400 25.9387
Se 1.5935 0.9200 16.7372
Se 1.5935 0.9200 22.0700



7.
12
Lattice="3.7030 0.0000 0.0000 -1.8515 3.2069 0.0000 0.0000 0.0000 27.0169" Properties=species:S:1:pos:R:3 comment="Sr2CuOs, relaxed, DFT GGA-PBE" vol_a3_per_atom=26.7 formation_energy_mev_per_atom=822 dos_ef_per_ev_fu=1.84 pbc="T T T"
Sr 0.0000 0.0000 6.6328
Sr 0.0000 0.0000 20.3840
Sr 0.0000 2.1380 11.3784
Sr 0.0000 2.1380 24.6441
Sr 1.8515 1.0690 2.3728
Sr 1.8515 1.0690 15.6384
Cu 0.0000 0.0000 0.0000
Cu 0.0000 2.1380 18.0113
Cu 1.8515 1.0690 9.0056
Os 0.0000 0.0000 13.5084
Os 0.0000 2.1380 4.5028
Os 1.8515 1.0690 22.5141



8.
12
Lattice="9.6745 0.0000 0.0000 -4.8372 8.3783 0.0000 0.0000 0.0000 3.2188" Properties=species:S:1:pos:R:3 comment="ZrW, relaxed, DFT GGA-PBE" vol_a3_per_atom=21.7 formation_energy_mev_per_atom=808 dos_ef_per_ev_fu=2.55 pbc="T T T"
Zr -0.5783 2.5482 0.8047
Zr -2.3413 7.6050 0.8047
Zr 1.9176 1.7749 2.4141
Zr 2.9196 6.6034 0.8047
Zr 7.1785 0.7733 2.4141
Zr 5.4155 5.8301 2.4141
W -1.7389 4.9491 0.8047
W 1.4206 4.3979 0.8047
W 0.3182 7.4097 0.8047
W 4.5190 0.9686 2.4141
W 3.4166 3.9804 2.4141
W 6.5761 3.4293 2.4141



9.
12
Lattice="6.8641 0.0000 0.0000 1.0127 6.8903 0.0000 0.1043 -0.0108 8.7381" Properties=species:S:1:pos:R:3 comment="CsLiNp2Cl8, relaxed, DFT GGA-PBE" e_form_raw_ev_per_atom=-1.74 vol_a3_per_atom=34.4 dos_ef_per_ev_fu=9.93 pbc="T T T"
Cs 0.0000 0.0000 0.0000
Li 0.0521 -0.0054 4.3690
Np 4.0064 3.4364 6.4527
Np 3.9746 3.4432 2.2854
Cl 2.5218 5.6580 6.0673
Cl 2.5624 5.7066 2.6005
Cl 2.4540 2.4582 4.3719
Cl 2.4801 2.6009 0.0226
Cl 5.5008 4.2786 8.7155
Cl 5.5270 4.4213 4.3662
Cl 5.4186 1.1729 6.1376
Cl 5.4592 1.2215 2.6707



10.
12
Lattice="2.7068 0.0000 0.0000 -1.3534 2.3441 0.0000 0.0000 0.0000 25.9239" Properties=species:S:1:pos:R:3 comment="NiIr2Ru, relaxed, DFT GGA-PBE" vol_a3_per_atom=13.7 formation_energy_mev_per_atom=99 dos_ef_per_ev_fu=7.19 pbc="T T T"
Ni 0.0000 0.0000 0.0000
Ni 0.0000 1.5628 17.2826
Ni 1.3534 0.7814 8.6413
Ir 0.0000 0.0000 6.5429
Ir 0.0000 0.0000 12.9175
Ir 0.0000 1.5628 4.2762
Ir 0.0000 1.5628 23.8255
Ir 1.3534 0.7814 15.1842
Ir 1.3534 0.7814 21.5588
Ru 0.0000 0.0000 19.3729
Ru 0.0000 1.5628 10.7316
Ru 1.3534 0.7814 2.0903



11.
5
Lattice="4.7292 0.0000 0.0000 0.0000 4.7292 0.0000 0.0000 0.0000 5.0748" Properties=species:S:1:pos:R:3 comment="LaCu2MoRu, relaxed, DFT GGA-PBE" vol_a3_per_atom=22.7 formation_energy_mev_per_atom=1470 dos_ef_per_ev_fu=4.31 pbc="T T T"
La 0.0000 0.0000 0.0000
Cu 0.0000 2.3646 2.5374
Cu 2.3646 0.0000 2.5374
Mo 0.0000 0.0000 2.5374
Ru 2.3646 2.3646 0.0000



12.
6
Lattice="4.7875 0.0000 0.0000 -2.3937 4.1461 0.0000 0.0000 0.0000 4.4014" Properties=species:S:1:pos:R:3 comment="Li5Ru, relaxed, DFT GGA-PBE" vol_a3_per_atom=14.6 formation_energy_mev_per_atom=467 dos_ef_per_ev_fu=1.71 pbc="T T T"
Li -1.1969 2.0730 0.0000
Li 0.0000 2.7641 2.2007
Li 2.3937 0.0000 0.0000
Li 1.1969 2.0730 0.0000
Li 2.3938 1.3820 2.2007
Ru 0.0000 0.0000 2.2007



13.
10
Lattice="11.1872 0.0000 0.0000 0.0000 5.2861 0.0000 -5.5641 0.0000 10.7180" Properties=species:S:1:pos:R:3 comment="Cs2KNaAu, relaxed, DFT GGA-PBE" vol_a3_per_atom=63.4 formation_energy_mev_per_atom=-119 dos_ef_per_ev_fu=3.06 pbc="T T T"
Cs -0.9883 1.3215 4.0613
Cs -0.8342 1.3215 8.7754
Cs 6.4573 3.9645 1.9426
Cs 6.6114 3.9645 6.6567
K 1.7150 3.9645 1.2136
K 3.9081 1.3215 9.5044
Na 2.0580 3.9645 6.3892
Na 3.5651 1.3215 4.3287
Au -0.9255 3.9645 6.4329
Au 6.5486 1.3215 4.2851



14.
8
Lattice="3.6260 0.0000 0.0000 0.0000 4.2041 0.0000 -0.0407 0.0000 12.2110" Properties=species:S:1:pos:R:3 comment="KBe2Al, relaxed, DFT GGA-PBE" vol_a3_per_atom=23.3 formation_energy_mev_per_atom=185 dos_ef_per_ev_fu=1.24 pbc="T T T"
K 0.0000 0.0000 0.0000
K 1.7668 2.1020 4.2140
Be -0.0139 1.0777 9.2110
Be -0.0139 3.1263 9.2110
Be 1.7995 0.0000 9.0989
Be 1.7988 2.1020 9.8812
Al -0.0213 0.0000 6.8804
Al 1.7960 2.1020 7.5632



15.
12
Lattice="13.9200 0.0000 0.0000 0.0000 3.5808 0.0000 0.0000 0.0000 6.2074" Properties=species:S:1:pos:R:3 comment="KTbH, relaxed, DFT GGA-PBE" vol_a3_per_atom=25.8 dos_ef_per_ev_fu=2.04 total_energy_ev_per_atom=-2.92 pbc="T T T"
K 1.7608 0.0000 0.0000
K 1.7608 1.7904 3.1037
K 12.1592 0.0000 0.0000
K 12.1592 1.7904 3.1037
Tb 5.3995 0.0000 4.1646
Tb 5.3995 1.7904 1.0609
Tb 8.5205 0.0000 4.1646
Tb 8.5205 1.7904 1.0609
H 0.0000 0.0000 4.1408
H 0.0000 1.7904 1.0371
H 6.9600 0.0000 0.0292
H 6.9600 1.7904 3.1329



16.
4
Lattice="2.8119 0.0000 0.0000 0.0000 4.5897 0.0000 0.0000 0.0000 5.0513" Properties=species:S:1:pos:R:3 comment="ReSiAu2, relaxed, DFT GGA-PBE" e_form_raw_ev_per_atom=0.40 vol_a3_per_atom=16.3 dos_ef_per_ev_fu=1.65 pbc="T T T"
Re 0.0000 0.0000 0.0000
Si 1.4059 2.2949 0.0000
Au 0.0000 2.2949 2.5256
Au 1.4059 0.0000 2.5256